This record from Alexandria describes a relaxed structure of Ba4Hg2Pt. The functional is PBE.

The space group is I4/mmm (No. 139) and the conventional cell measures 6.1827, 6.1827 and 16.9771 Å, with angles of 90.00, 90.00 and 90.00 degrees. Symmetry generates all atoms from Ba at (0.0000, 0.0000, 0.1873), Ba at (0.0000, 0.5000, 0.0000), Hg at (0.0000, 0.0000, 0.3918) and Pt at (0.0000, 0.0000, 0.0000).

The calculation puts the density of states at the Fermi level at 19.25 states/eV per cell. As for the formation energy: -0.447 eV/atom. The volume comes out at 324 Å³/f.u. The total magnetic moment comes out at 0.00 μB per formula unit. The total energy comes out at -17.5 eV per formula unit.

***

This record from Alexandria describes a relaxed structure of BaHg2Pt2. The functional is PBE.

The space group is P4/mbm (No. 127) and the conventional cell measures 8.4170, 8.4170 and 3.1741 Å, with angles of 90.00, 90.00 and 90.00 degrees. Symmetry generates all atoms from Ba at (0.0000, 0.0000, 0.0000), Hg at (0.1214, 0.3786, 0.0000) and Pt at (0.1777, 0.6777, 0.5000).

The calculation puts the density of states at the Fermi level at 4.46 states/eV per cell. As for the formation energy: -0.204 eV/atom. The volume comes out at 112 Å³/f.u. The total magnetic moment comes out at 0.00 μB per formula unit. The total energy comes out at -15.6 eV per formula unit.

***

This record from Alexandria describes a relaxed structure of Ba6HgPt. The functional is PBE.

The space group is P-31c (No. 163) and the conventional cell measures 8.0495, 8.0495 and 15.4457 Å, with angles of 90.00, 90.00 and 120.00 degrees. Symmetry generates all atoms from Ba at (0.0088, 0.3229, 0.1193), Hg at (0.3333, 0.6667, 0.7500) and Pt at (0.0000, 0.0000, 0.0000).

The calculation puts the density of states at the Fermi level at 12.58 states/eV per cell. As for the formation energy: -0.371 eV/atom. The volume comes out at 433 Å³/f.u. The total magnetic moment comes out at 0.00 μB per formula unit. The total energy comes out at -20.8 eV per formula unit.

***

This record from Alexandria describes a relaxed structure of Ba2HgPt. The functional is PBE.

The space group is Imm2 (No. 44) and the conventional cell measures 4.0093, 5.0858 and 13.6562 Å, with angles of 90.00, 90.00 and 90.00 degrees. Symmetry generates all atoms from Ba at (0.0000, 0.0000, 0.0000), Ba at (0.0000, 0.5000, 0.2103), Hg at (0.0000, 0.5000, 0.8322) and Pt at (0.0000, 0.0000, 0.5090).

The calculation puts the density of states at the Fermi level at 5.77 states/eV per cell. As for the formation energy: -0.478 eV/atom. The volume comes out at 139 Å³/f.u. The total magnetic moment comes out at 0.00 μB per formula unit. The total energy comes out at -12.1 eV per formula unit.